# 1
# LaSiAs2Br

Crystalline LaSiAs2Br at its relaxed geometry (GGA-PBEsol, the Alexandria database).

Lattice parameters (Å, degrees): 4.8038 4.8038 5.0586 90.00 90.00 90.00
Element x y z (fractional)
As 0.0000 0.5000 0.0000
Si 0.0000 0.0000 0.0000
As 0.5000 0.0000 0.0000
Br 0.0000 0.0000 0.5000
La 0.5000 0.5000 0.5000

**Space group**: P4/mmm, No. 123
**Formation energy from raw total energies**: -0.43 eV/atom



# 2
# CdInNiAu2

Crystalline CdInNiAu2 at its relaxed geometry (GGA-PBEsol, the Alexandria database).

Lattice parameters (Å, degrees): 4.6704 5.0294 5.0294 90.00 90.00 90.00
Element x y z (fractional)
Au 0.0000 0.5000 0.0000
In 0.0000 0.0000 0.0000
Ni 0.5000 0.0000 0.0000
Au 0.0000 0.0000 0.5000
Cd 0.5000 0.5000 0.5000

**Space group**: P4/mmm, No. 123
**Energy of formation**: 19.041 kcal/mol of atoms



# 3
# Be2PdAu2

Crystalline Be2PdAu2 at its relaxed geometry (GGA-PBEsol, the Alexandria database).

Lattice parameters (Å, degrees): 2.8785 6.6706 6.6706 90.00 90.00 90.00
Element x y z (fractional)
Be 0.0000 0.8605 0.6395
Au 0.5000 0.6553 0.8447
Au 0.5000 0.1553 0.6553
Pd 0.0000 0.0000 0.0000
Au 0.5000 0.3447 0.1553
Au 0.5000 0.8447 0.3447
Be 0.0000 0.1395 0.3605
Be 0.0000 0.6395 0.1395
Be 0.0000 0.3605 0.8605
Pd 0.0000 0.5000 0.5000

**Space group**: P4/mbm, No. 127
**Energy of formation**: -6.352 kcal/mol of atoms
**Polymorph energy (0 for the lowest one)**: 0 kJ/mol of formula units



# 4
# Ca2DyMoO6

Crystalline Ca2DyMoO6 at its relaxed geometry (GGA-PBEsol, the Alexandria database).

Lattice parameters (Å, degrees): 5.5678 5.5680 5.9287 90.00 117.99 120.01
Site moments in Bohr magnetons follow the coordinates.
Element x y z (fractional)
O 0.5312 0.6749 0.7833  0.00
O 0.9270 0.2522 0.7834  0.00
Dy 0.0000 0.5000 0.5000  0.06
O 0.0730 0.7478 0.2166  0.00
Ca 0.4338 0.7168 0.1508  0.01
O 0.1083 0.8565 0.7831  0.00
O 0.4688 0.3251 0.2167  0.00
Mo 0.0000 0.0000 0.0000  0.81
O 0.8917 0.1435 0.2169  0.00
Ca 0.5662 0.2832 0.8492  0.01

**Space group**: R-3, No. 148
**Formation energy from raw total energies**: -2.82 eV/atom



# 5
# LiMo2P3O13

Crystalline LiMo2P3O13 at its relaxed geometry (GGA-PBEsol, the Alexandria database).

Lattice parameters (Å, degrees): 6.3940 7.5260 11.2006 76.27 86.22 79.38
Site moments in Bohr magnetons follow the coordinates.
Element x y z (fractional)
P 0.8797 0.5291 0.6869  0.01
Li 0.1980 0.5648 0.8144  0.00
O 0.0748 0.7806 0.4287  0.02
O 0.5135 0.1910 0.1264  0.02
O 0.5264 0.2644 0.6062  0.02
O 0.8863 0.5433 0.3367  0.01
P 0.2684 0.9319 0.8866  0.01
O 0.6911 0.0144 0.4286  -0.06
O 0.2067 0.3661 0.9604  -0.05
O 0.8702 0.6284 0.7919  0.02
O 0.3089 0.9856 0.5714  -0.06
O 0.1137 0.4567 0.6633  0.01
Mo 0.2089 0.2013 0.0925  0.84
O 0.2330 0.9834 0.2454  0.00
O 0.9252 0.2194 0.5713  0.02
O 0.4865 0.8090 0.8736  0.02
O 0.8904 0.2027 0.1125  0.01
O 0.7565 0.3584 0.7435  0.00
P 0.2579 0.7960 0.3336  0.01
P 0.7316 0.0681 0.1134  0.01
O 0.2435 0.6416 0.2565  0.00
O 0.7543 0.6464 0.5761  0.02
O 0.1298 0.3716 0.2081  0.02
Mo 0.2417 0.1974 0.5953  0.87
O 0.2457 0.3536 0.4239  0.02
P 0.7421 0.2040 0.6664  0.01
O 0.2531 0.9915 0.0092  0.05
Mo 0.7583 0.8026 0.4047  0.87
Li 0.8020 0.4352 0.1856  0.00
O 0.2251 0.1036 0.7809  0.03
Mo 0.7911 0.7987 0.9075  0.84
P 0.1203 0.4709 0.3131  0.01
O 0.7933 0.6339 0.0396  -0.05
O 0.7670 0.0167 0.7546  0.00
O 0.7749 0.8964 0.2191  0.03
O 0.1096 0.7973 0.8875  0.01
O 0.7469 0.0085 0.9908  0.05
O 0.4736 0.7356 0.3938  0.02

**Space group**: P-1, No. 2
**Formation energy from raw total energies**: -2.10 eV/atom
**Polymorph energy (0 for the lowest one)**: 6 kJ/mol of formula units



# 6
# CdPbCl2

Crystalline CdPbCl2 at its relaxed geometry (GGA-PBEsol, the Alexandria database).

Lattice parameters (Å, degrees): 4.8349 5.3479 4.8349 63.13 90.00 116.87
Element x y z (fractional)
Pb 0.5000 0.0000 0.5000
Cl 0.2500 0.5000 0.2500
Cl 0.7500 0.5000 0.7500
Cd 0.0000 0.0000 0.0000

**Space group**: I4/mmm, No. 139
**Formation energy from raw total energies**: -0.50 eV/atom
**Polymorph energy (0 for the lowest one)**: 55 kJ/mol of formula units